{"formula": "Pr3Nd2Tm2", "functional": "PBE", "state": "relaxed", "relative_energy_kj_per_mol_fu": 23, "magmom_total_mub_per_fu": 0.000, "density_g_cm3": 7.25, "crystal_system": "orthorhombic", "spacegroup": "Immm (71)", "final_energy_ev_per_atom": -4.6377, "e_form_ev_per_atom": 0.05, "lattice": [[-1.798, 2.831, 11.807], [1.798, -2.831, 11.807], [1.798, 2.831, -11.807]], "species": ["Pr", "Pr", "Pr", "Nd", "Nd", "Tm", "Tm"], "fractional_positions": [[0.000, 0.000, 0.000], [0.276, 0.776, 0.500], [0.724, 0.224, 0.500], [0.421, 0.421, 0.000], [0.579, 0.579, 0.000], [0.143, 0.143, 0.000], [0.857, 0.857, 0.000]]}